Entry from the Alexandria database: a geometry-optimized CaGa2AgRh structure (PBE). Values from VASP.

Values from the calculation:
* M_tot: 0.0 μB per formula unit
* formation energy from the elements: -0.274 eV/atom
* mass density: 5.565 g cm⁻³
* DOS(E_F): 0.24 states/eV per atom

Geometry as Quantum ESPRESSO input:
```
&SYSTEM
  ibrav = 0, nat = 5, ntyp = 4
/
ATOMIC_SPECIES
Ca 40.08 Ca.upf
Ga 69.72 Ga.upf
Ag 107.87 Ag.upf
Rh 102.91 Rh.upf
ATOMIC_POSITIONS angstrom
Ca 0.0000 0.0000 0.0000
Ga 0.0000 2.3520 2.6313
Ga 2.3520 0.0000 2.6313
Ag 2.3520 2.3520 0.0000
Rh 2.3520 2.3520 2.6313
CELL_PARAMETERS angstrom
4.7041 0.0000 0.0000
0.0000 4.7041 0.0000
0.0000 0.0000 5.2626
```